The following is a GGA-PBE calculation of BSb2TeI after structural relaxation, from the Alexandria database.

Cell: 5.107 5.107 4.851 Å, 90.00 90.00 90.00°
Atoms (fractional coordinates):
1 Te 0.000 0.000 0.500
2 I 0.500 0.500 0.500
3 Sb 0.500 0.000 0.000
4 Sb 0.000 0.500 0.000
5 B 0.000 0.000 0.000

Computed properties:
Uncorrected formation energy, eV per atom: 0.7176
DOS at the Fermi energy, states/eV per atom: 0.582
DFT total energy, eV/atom: -3.205
Distance to the lowest polymorph of the same formula, eV per atom: 0.000